La2NiO4 after structural relaxation. Source: the Alexandria database, functional PBE with a Hubbard U.

Summary:
- VASP energy (eV/cell) = -51.21
- offset from the most stable computed form (kJ/mol of formula units) = 12.4

Lattice parameters (Å, degrees): 6.8407 6.8407 6.8407 146.70 146.70 47.81
Closest atoms and distances in Å follow each position.
Sites, in units of the cell vectors:
La (0.1365, 0.1365, 0.0000)  1 O 2.31
La (0.8635, 0.8635, 0.0000)  1 O 2.31
Ni (0.5000, 0.5000, 0.0000)  4 O 1.96
O (0.0000, 0.5000, 0.5000)  2 Ni 1.96
O (0.3210, 0.3210, 0.0000)  1 Ni 2.24, 1 La 2.31
O (0.5000, 0.0000, 0.5000)  2 Ni 1.96
O (0.6790, 0.6790, 0.0000)  1 Ni 2.24, 1 La 2.31